DFT (PBE) results for a geometry-optimized Ca2AgIr structure.

The structure in POSCAR format:
```
Ca2AgIr
1.0
-4.109 -0.727 -0.868
-3.125 -2.216 1.869
-2.964 5.750 4.194
Ag Ir Ca
1 1 2
direct
0.250 0.250 0.250
0.750 0.750 0.750
0.492 0.492 0.535
0.008 0.008 0.965
```

Computed properties:
SG   C2/m (12)
ΔE_f   -0.040 eV/atom
Raw total energy   -3.969 eV per atom

---

DFT (PBE) results for a geometry-optimized Ca3AgIr structure.

The structure in POSCAR format:
```
Ca3AgIr
1.0
-0.231 4.383 3.956
-4.379 0.169 -3.963
-2.279 -6.911 4.872
Ir Ca Ag
2 6 2
direct
0.250 0.250 0.000
0.750 0.750 0.000
0.302 0.802 0.104
0.077 0.205 0.281
0.923 0.795 0.719
0.698 0.198 0.896
0.705 0.577 0.282
0.295 0.423 0.718
0.291 0.791 0.500
0.709 0.209 0.500
```

Computed properties:
Excess energy over the best structure of this formula in the dataset   0.0 meV/atom
SG   Fmmm (69)
ΔE_f   -0.313 eV/atom
Raw total energy   -3.857 eV per atom

---

DFT (PBE) results for a geometry-optimized CaAgIr2 structure.

The structure in POSCAR format:
```
CaAgIr2
1.0
2.895 0.000 0.000
0.000 3.834 0.000
0.000 0.000 6.838
Ca Ir Ag
1 2 1
direct
0.500 0.500 0.768
0.000 0.000 0.060
0.500 0.500 0.205
0.000 0.000 0.467
```

Computed properties:
Excess energy over the best structure of this formula in the dataset   0.0 meV/atom
SG   Pmm2 (25)
ΔE_f   0.077 eV/atom
Raw total energy   -5.567 eV per atom

---

DFT (PBE) results for a geometry-optimized CaAgIr2 structure.

The structure in POSCAR format:
```
CaAgIr2
1.0
-0.844 -1.441 -2.914
2.705 -1.982 0.196
-3.490 -4.444 3.208
Ir Ca Ag
2 1 1
direct
0.000 0.000 0.036
0.000 0.000 0.464
0.500 0.500 0.750
0.500 0.500 0.250
```

Computed properties:
Excess energy over the best structure of this formula in the dataset   365.1 meV/atom
SG   P4/mmm (123)
ΔE_f   0.442 eV/atom
Raw total energy   -5.202 eV per atom

---

DFT (PBE) results for a geometry-optimized CaAgIr2 structure.

The structure in POSCAR format:
```
CaAgIr2
1.0
5.150 0.008 0.000
-2.069 4.717 0.000
0.000 0.000 2.858
Ir Ag Ca
2 1 1
direct
0.000 0.000 0.000
0.500 0.500 0.000
0.500 0.000 0.500
0.000 0.500 0.500
```

Computed properties:
Excess energy over the best structure of this formula in the dataset   165.0 meV/atom
SG   Cmmm (65)
ΔE_f   0.242 eV/atom
Raw total energy   -5.402 eV per atom

---

DFT (PBE) results for a geometry-optimized CaAgIr2 structure.

The structure in POSCAR format:
```
CaAgIr2
1.0
2.879 0.000 0.000
0.000 2.879 0.000
0.000 0.000 8.612
Ca Ag Ir
1 1 2
direct
0.500 0.500 0.767
0.000 0.000 0.475
0.500 0.500 0.229
0.000 0.000 0.029
```

Computed properties:
Excess energy over the best structure of this formula in the dataset   69.5 meV/atom
SG   P4mm (99)
ΔE_f   0.147 eV/atom
Raw total energy   -5.497 eV per atom

---

DFT (PBE) results for a geometry-optimized Ca2AgIr structure.

The structure in POSCAR format:
```
Ca2AgIr
1.0
-0.971 -6.401 -3.437
1.927 -4.252 -5.652
3.055 -6.314 -2.130
Ir Ca Ag
1 2 1
direct
0.250 0.250 0.250
0.986 0.986 0.986
0.514 0.514 0.514
0.750 0.750 0.750
```

Computed properties:
SG   R-3m (166)
ΔE_f   0.000 eV/atom
Raw total energy   -3.929 eV per atom

---

DFT (PBE) results for a geometry-optimized Ca4AgIr structure.

The structure in POSCAR format:
```
Ca4AgIr
1.0
-4.516 2.295 3.354
-2.785 5.110 -1.744
-5.715 -0.203 -2.052
Ca Ag Ir
4 1 1
direct
0.376 0.376 0.872
0.872 0.376 0.376
0.376 0.872 0.376
0.376 0.376 0.376
0.000 0.000 0.000
0.750 0.750 0.750
```

Computed properties:
Excess energy over the best structure of this formula in the dataset   1003.2 meV/atom
SG   F-43m (216)
ΔE_f   0.679 eV/atom
Raw total energy   -2.608 eV per atom

---

DFT (PBE) results for a geometry-optimized CaAgIr2 structure.

The structure in POSCAR format:
```
CaAgIr2
1.0
4.678 0.000 0.000
0.000 2.922 -0.260
0.000 0.445 4.998
Ir Ag Ca
2 1 1
direct
0.000 0.875 0.077
0.500 0.375 0.181
0.000 0.375 0.550
0.500 0.875 0.692
```

Computed properties:
Excess energy over the best structure of this formula in the dataset   7.9 meV/atom
SG   Pmm2 (25)
ΔE_f   0.085 eV/atom
Raw total energy   -5.559 eV per atom

---

DFT (PBE) results for a geometry-optimized CaAgIr2 structure.

The structure in POSCAR format:
```
CaAgIr2
1.0
-0.362 -2.553 1.184
1.749 0.731 2.111
-6.736 3.051 4.524
Ca Ag Ir
1 1 2
direct
0.500 0.500 0.750
0.500 0.500 0.250
0.000 0.000 0.490
0.000 0.000 0.010
```

Computed properties:
Excess energy over the best structure of this formula in the dataset   239.0 meV/atom
SG   P4/mmm (123)
ΔE_f   0.316 eV/atom
Raw total energy   -5.328 eV per atom

---

DFT (PBE) results for a geometry-optimized Ca2AgIr2 structure.

The structure in POSCAR format:
```
Ca2AgIr2
1.0
-1.363 -3.136 -6.046
-0.613 -6.085 3.294
-4.335 0.754 0.586
Ir Ca Ag
4 4 2
direct
0.875 0.625 0.000
0.125 0.375 0.000
0.625 0.125 0.000
0.375 0.875 0.000
0.824 0.324 0.500
0.176 0.676 0.500
0.676 0.824 0.500
0.324 0.176 0.500
0.500 0.500 0.000
0.000 0.000 0.000
```

Computed properties:
Excess energy over the best structure of this formula in the dataset   0.0 meV/atom
SG   P4/mbm (127)
ΔE_f   -0.163 eV/atom
Raw total energy   -5.078 eV per atom

---

DFT (PBE) results for a geometry-optimized CaAgIr4 structure.

The structure in POSCAR format:
```
CaAgIr4
1.0
1.907 -3.903 -3.026
1.172 -4.690 2.158
-3.000 -4.229 -1.067
Ir Ca Ag
4 1 1
direct
0.375 0.875 0.375
0.875 0.375 0.375
0.375 0.375 0.375
0.375 0.375 0.875
0.000 0.000 0.000
0.750 0.750 0.750
```

Computed properties:
SG   F-43m (216)
ΔE_f   0.010 eV/atom
Raw total energy   -6.706 eV per atom

---

DFT (PBE) results for a geometry-optimized Ca2AgIr structure.

The structure in POSCAR format:
```
Ca2AgIr
1.0
-0.596 2.695 2.034
0.099 -2.073 2.776
7.582 -0.887 3.398
Ca Ir Ag
2 1 1
direct
0.000 0.529 0.471
0.000 0.971 0.029
0.500 0.250 0.250
0.500 0.750 0.750
```

Computed properties:
SG   Pmmm (47)
ΔE_f   -0.283 eV/atom
Raw total energy   -4.212 eV per atom

---

DFT (PBE) results for a geometry-optimized CaAgIr2 structure.

The structure in POSCAR format:
```
CaAgIr2
1.0
4.978 -0.002 -0.006
-2.418 5.051 0.005
0.143 0.805 2.738
Ir Ca Ag
2 1 1
direct
0.500 0.000 0.500
0.000 0.000 0.000
0.500 0.500 0.000
0.000 0.500 0.500
```

Computed properties:
Excess energy over the best structure of this formula in the dataset   74.7 meV/atom
SG   C2/m (12)
ΔE_f   0.152 eV/atom
Raw total energy   -5.492 eV per atom

---

DFT (PBE) results for a geometry-optimized Ca4Ag2Ir structure.

The structure in POSCAR format:
```
Ca4Ag2Ir
1.0
4.861 0.000 1.519
2.193 4.338 1.519
-0.101 -0.062 8.860
Ca Ag Ir
4 2 1
direct
0.630 0.630 0.109
0.370 0.370 0.891
0.120 0.120 0.641
0.880 0.880 0.359
0.249 0.249 0.252
0.751 0.751 0.748
0.000 0.000 0.000
```

Computed properties:
SG   R-3m (166)
ΔE_f   -0.251 eV/atom
Raw total energy   -3.476 eV per atom

---

DFT (PBE) results for a geometry-optimized CaAgIr2 structure.

The structure in POSCAR format:
```
CaAgIr2
1.0
-0.481 -1.256 5.750
3.845 -3.489 2.814
-1.301 4.897 -3.033
Ir Ag Ca
2 1 1
direct
0.764 0.264 0.500
0.968 0.968 0.000
0.526 0.526 0.000
0.241 0.741 0.500
```

Computed properties:
Excess energy over the best structure of this formula in the dataset   76.1 meV/atom
SG   Imm2 (44)
ΔE_f   0.153 eV/atom
Raw total energy   -5.491 eV per atom

---

DFT (PBE) results for a geometry-optimized CaAgIr2 structure.

The structure in POSCAR format:
```
CaAgIr2
1.0
9.639 0.002 0.001
9.204 2.865 0.001
9.204 1.400 2.499
Ir Ag Ca
2 1 1
direct
0.500 0.500 0.500
0.000 0.000 0.000
0.250 0.250 0.250
0.750 0.750 0.750
```

Computed properties:
Excess energy over the best structure of this formula in the dataset   270.6 meV/atom
SG   R-3m (166)
ΔE_f   0.348 eV/atom
Raw total energy   -5.296 eV per atom

---

DFT (PBE) results for a geometry-optimized Ca3Ag2Ir structure.

The structure in POSCAR format:
```
Ca3Ag2Ir
1.0
5.035 0.000 0.021
2.518 7.577 0.010
-0.030 0.000 7.400
Ca Ag Ir
6 4 2
direct
0.826 0.347 0.224
0.174 0.653 0.776
0.173 0.653 0.224
0.827 0.347 0.776
0.500 0.000 0.234
0.500 0.000 0.766
0.000 0.000 0.500
0.665 0.671 0.500
0.000 0.000 0.000
0.335 0.329 0.500
0.340 0.321 0.000
0.660 0.679 0.000
```

Computed properties:
SG   Cmmm (65)
ΔE_f   -0.298 eV/atom
Raw total energy   -3.726 eV per atom

---

DFT (PBE) results for a geometry-optimized Ca2AgIr structure.

The structure in POSCAR format:
```
Ca2AgIr
1.0
5.778 0.014 0.004
4.819 3.188 0.004
1.297 0.392 4.932
Ca Ir Ag
2 1 1
direct
0.983 0.983 0.046
0.784 0.784 0.678
0.518 0.518 0.538
0.216 0.216 0.238
```

Computed properties:
SG   Cm (8)
ΔE_f   -0.161 eV/atom
Raw total energy   -4.090 eV per atom

---

DFT (PBE) results for a geometry-optimized Ca4AgIr structure.

The structure in POSCAR format:
```
Ca4AgIr
1.0
6.400 -0.019 0.000
-1.667 8.030 0.000
-2.366 -4.006 6.841
Ca Ag Ir
8 2 2
direct
0.361 0.946 0.661
0.356 0.650 0.873
0.200 0.285 0.339
0.800 0.715 0.661
0.982 0.776 0.127
0.639 0.054 0.339
0.644 0.350 0.127
0.018 0.224 0.873
0.614 0.364 0.728
0.386 0.636 0.272
0.249 0.999 0.999
0.751 0.001 0.001
```

Computed properties:
Excess energy over the best structure of this formula in the dataset   0.0 meV/atom
SG   C2/c (15)
ΔE_f   -0.325 eV/atom
Raw total energy   -3.611 eV per atom

---

DFT (PBE) results for a geometry-optimized CaAgIr2 structure.

The structure in POSCAR format:
```
CaAgIr2
1.0
-3.390 -2.724 -2.035
0.290 -1.915 2.081
-3.526 1.857 3.389
Ag Ir Ca
1 2 1
direct
0.500 0.250 0.250
0.000 0.074 0.024
0.000 0.426 0.476
0.500 0.750 0.750
```

Computed properties:
Excess energy over the best structure of this formula in the dataset   75.2 meV/atom
SG   P2/m (10)
ΔE_f   0.152 eV/atom
Raw total energy   -5.491 eV per atom

---

DFT (PBE) results for a geometry-optimized Ca2AgIr structure.

The structure in POSCAR format:
```
Ca2AgIr
1.0
-0.854 -1.138 4.838
3.029 -1.700 0.135
2.323 4.249 1.409
Ca Ag Ir
2 1 1
direct
0.000 0.125 0.875
0.500 0.125 0.375
0.500 0.625 0.874
0.000 0.625 0.375
```

Computed properties:
SG   Pmm2 (25)
ΔE_f   -0.240 eV/atom
Raw total energy   -4.169 eV per atom

---

DFT (PBE) results for a geometry-optimized CaAg3Ir structure.

The structure in POSCAR format:
```
CaAg3Ir
1.0
5.079 0.000 0.000
0.000 5.079 0.000
0.000 0.000 5.079
Ag Ca Ir
3 1 1
direct
0.500 0.000 0.000
0.000 0.000 0.500
0.000 0.500 0.000
0.500 0.500 0.500
0.000 0.000 0.000
```

Computed properties:
Excess energy over the best structure of this formula in the dataset   0.0 meV/atom
SG   Pm-3m (221)
ΔE_f   0.508 eV/atom
Raw total energy   -3.375 eV per atom

---

DFT (PBE) results for a geometry-optimized CaAgIr2 structure.

The structure in POSCAR format:
```
CaAgIr2
1.0
5.066 0.009 0.024
4.217 2.808 0.024
1.037 0.315 5.006
Ag Ir Ca
1 2 1
direct
0.513 0.513 0.511
0.985 0.985 0.061
0.253 0.253 0.199
0.749 0.749 0.729
```

Computed properties:
Excess energy over the best structure of this formula in the dataset   36.0 meV/atom
SG   Cm (8)
ΔE_f   0.113 eV/atom
Raw total energy   -5.531 eV per atom

---

DFT (PBE) results for a geometry-optimized CaAgIr2 structure.

The structure in POSCAR format:
```
CaAgIr2
1.0
0.000 3.284 3.284
3.284 0.000 3.284
3.284 3.284 0.000
Ca Ir Ag
1 2 1
direct
0.000 0.000 0.000
0.250 0.250 0.250
0.750 0.750 0.750
0.500 0.500 0.500
```

Computed properties:
Excess energy over the best structure of this formula in the dataset   368.9 meV/atom
SG   Fm-3m (225)
ΔE_f   0.446 eV/atom
Raw total energy   -5.198 eV per atom

---

DFT (PBE) results for a geometry-optimized CaAgIr2 structure.

The structure in POSCAR format:
```
CaAgIr2
1.0
2.819 0.022 0.000
-1.161 2.569 0.000
0.000 0.000 9.452
Ca Ir Ag
1 2 1
direct
0.500 0.500 0.750
0.000 0.000 0.501
0.000 0.000 0.999
0.500 0.500 0.250
```

Computed properties:
Excess energy over the best structure of this formula in the dataset   260.5 meV/atom
SG   Cmmm (65)
ΔE_f   0.338 eV/atom
Raw total energy   -5.306 eV per atom

---

DFT (PBE) results for a geometry-optimized Ca2AgIr structure.

The structure in POSCAR format:
```
Ca2AgIr
1.0
-5.468 4.451 3.475
3.175 -1.576 7.016
0.667 3.877 4.973
Ca Ir Ag
4 2 2
direct
0.098 0.625 0.250
0.875 0.902 0.750
0.652 0.125 0.250
0.375 0.348 0.750
0.750 0.250 0.500
0.000 0.000 0.000
0.500 0.500 0.000
0.250 0.750 0.500
```

Computed properties:
SG   I-42d (122)
ΔE_f   0.047 eV/atom
Raw total energy   -3.881 eV per atom

---

DFT (PBE) results for a geometry-optimized LiCa2AgIr structure.

The structure in POSCAR format:
```
LiCa2AgIr
1.0
-2.551 -3.662 3.261
2.969 1.310 3.795
-3.639 3.878 1.508
Li Ca Ir Ag
1 2 1 1
direct
0.500 0.500 0.500
0.000 0.000 0.500
0.500 0.000 0.000
0.000 0.500 0.000
0.000 0.000 0.000
```

Computed properties:
SG   P4/mmm (123)
ΔE_f   0.445 eV/atom
Raw total energy   -3.080 eV per atom